# 1
Entry from Alexandria via LeMat-Bulk: crystalline Tb5Mg2 at its relaxed geometry (PBE-GGA).

Summary:
ΔE_f (eV per atom): -0.018
DFT total energy (eV/atom): -3.7805

a b c (Å): 3.510 3.510 33.628
angles (deg): 90.00 90.00 90.00
Space group I4/mmm (No. 139)
Unique sites:
Tb (0.000, 0.000, 0.000) (multiplicity 2)
Tb (0.000, 0.000, 0.152) (multiplicity 4)
Tb (0.000, 0.000, 0.424) (multiplicity 4)
Mg (0.000, 0.000, 0.279) (multiplicity 4)

***

# 2
Entry from Alexandria via LeMat-Bulk: crystalline Tb2Mg at its relaxed geometry (PBE-GGA).

Summary:
Polymorph energy (0 for the lowest one) (meV per atom): 0
ΔE_f (eV per atom): -0.044
DFT total energy (eV/atom): -3.6619

a b c (Å): 3.621 3.621 13.329
angles (deg): 90.00 90.00 90.00
Space group I4/mmm (No. 139)
Unique sites:
Tb (0.000, 0.000, 0.161) (multiplicity 4)
Mg (0.000, 0.000, 0.500) (multiplicity 2)

***

# 3
Entry from Alexandria via LeMat-Bulk: crystalline Tb3Mg8 at its relaxed geometry (PBE-GGA).

Summary:
ΔE_f (eV per atom): -0.067
DFT total energy (eV/atom): -2.4899

a b c (Å): 5.1924 5.1924 35.4626
angles (deg): 90.00 90.00 120.00
Space group R-3m (No. 166, hexagonal axes)
Unique sites:
Tb (0.0000, 0.0000, 0.0000) (multiplicity 3)
Tb (0.0000, 0.0000, 0.4518) (multiplicity 6)
Mg (0.0000, 0.0000, 0.0882) (multiplicity 6)
Mg (0.0000, 0.0000, 0.1757) (multiplicity 6)
Mg (0.0000, 0.0000, 0.2725) (multiplicity 6)
Mg (0.0000, 0.0000, 0.3627) (multiplicity 6)

***

# 4
Entry from Alexandria via LeMat-Bulk: crystalline Tb2Mg13 at its relaxed geometry (PBE-GGA).

Summary:
ΔE_f (eV per atom): 0.137
DFT total energy (eV/atom): -1.8628

a b c (Å): 7.9786 7.9786 21.1068
angles (deg): 90.00 90.00 120.00
Space group R-3m (No. 166, hexagonal axes)
Unique sites:
Tb (0.0000, 0.0000, 0.1578) (multiplicity 6)
Mg (0.0000, 0.0000, 0.0000) (multiplicity 3)
Mg (0.0750, 0.5375, 0.3797) (multiplicity 18)
Mg (0.0870, 0.5435, 0.2307) (multiplicity 18)